The following is a PBE calculation of SrScCo2 after structural relaxation, from Alexandria via LeMat-Bulk.

As for the formation energy: 0.528 eV per atom. The volume comes out at 80.7 Å³/f.u. For the total energy, the calculation gives -60.33 eV per cell. The value obtained for the polymorph energy (0 for the lowest one) is 518 meV per atom.

The space group is R-3m (No. 166, hexagonal axes) and the conventional cell measures 3.4415, 3.4415 and 23.6153 Å, with angles of 90.00, 90.00 and 120.00 degrees. The asymmetric unit holds Sr at (0.0000, 0.0000, 0.0000), Sc at (0.0000, 0.0000, 0.5000) and Co at (0.0000, 0.0000, 0.2390).